<P>
DFT (PBE-GGA) results for an optimized crystal structure of Te3MoSeBr.

The space group is P-1 (No. 2) and the conventional cell measures 6.747, 8.279 and 8.406 Å, with angles of 116.53, 104.49 and 98.91 degrees. The inequivalent atoms are Te at (0.046, 0.255, 0.491), Te at (0.115, 0.105, 0.807), Te at (0.370, 0.678, 0.279), Mo at (0.283, 0.000, 0.500), Se at (0.476, 0.142, 0.341) and Br at (0.243, 0.631, 0.904).

***

<Q>
DFT (PBE-GGA) results for an optimized crystal structure of Te3MoSeBr.

The space group is P-1 (No. 2) and the conventional cell measures 6.732, 7.720 and 8.685 Å, with angles of 114.30, 103.37 and 100.49 degrees. The inequivalent atoms are Te at (0.028, 0.360, 0.192), Te at (0.127, 0.840, 0.186), Te at (0.385, 0.362, 0.709), Mo at (0.223, 0.500, 0.000), Se at (0.467, 0.274, 0.046) and Br at (0.251, 0.901, 0.564).

***

Last place for stability: <Q>

***

<P>
DFT (PBE-GGA) results for an optimized crystal structure of NdYBr3N.

The space group is C2/m (No. 12) and the conventional cell measures 18.601, 3.971 and 11.804 Å, with angles of 90.00, 124.50 and 90.00 degrees. The inequivalent atoms are Nd at (0.136, 0.000, 0.285), Y at (0.073, 0.500, 0.960), Br at (0.040, 0.000, 0.755), Br at (0.167, 0.500, 0.512), Br at (0.211, 0.000, 0.113) and N at (0.073, 0.500, 0.150).

***

<Q>
DFT (PBE-GGA) results for an optimized crystal structure of NdYBr3N.

The space group is C2/m (No. 12) and the conventional cell measures 17.980, 3.953 and 11.519 Å, with angles of 90.00, 123.79 and 90.00 degrees. The inequivalent atoms are Nd at (0.080, 0.000, 0.457), Y at (0.136, 0.500, 0.786), Br at (0.037, 0.500, 0.235), Br at (0.168, 0.000, 0.011), Br at (0.224, 0.500, 0.624) and N at (0.077, 0.000, 0.657).

***

Last place for stability: <Q>

***

<P>
DFT (PBE-GGA) results for an optimized crystal structure of Na2PtBr6.

The space group is I4/m (No. 87) and the conventional cell measures 7.201, 7.201 and 10.256 Å, with angles of 90.00, 90.00 and 90.00 degrees. The inequivalent atoms are Na at (0.000, 0.500, 0.250), Pt at (0.000, 0.000, 0.000), Br at (0.000, 0.000, 0.244) and Br at (0.162, 0.307, 0.000).

***

<Q>
DFT (PBE-GGA) results for an optimized crystal structure of Na2PtBr6.

The space group is I4/mmm (No. 139) and the conventional cell measures 7.280, 7.280 and 10.100 Å, with angles of 90.00, 90.00 and 90.00 degrees. The inequivalent atoms are Na at (0.000, 0.500, 0.250), Pt at (0.000, 0.000, 0.000), Br at (0.000, 0.000, 0.246) and Br at (0.242, 0.242, 0.000).

***

Last place for stability: <Q>